(1)
Material: ReSiTeI2
Method: DFT, PBE
State: relaxed

Unit cell a=5.5376 b=5.5376 c=5.0948 alpha=90.00 beta=90.00 gamma=90.00
Space group P4/mmm (No. 123)
One atom of each set of equivalent atoms:
Re (0.0000, 0.0000, 0.0000) x1
Si (0.5000, 0.5000, 0.5000) x1
Te (0.0000, 0.0000, 0.5000) x1
I (0.0000, 0.5000, 0.0000) x2

* E_form (uncorrected): 5.45 eV per formula unit
* energy above the most stable polymorph in this dataset: 0 meV/atom

=====

(2)
Material: BaHgTe2
Method: DFT, PBE
State: relaxed

Unit cell a=7.8715 b=4.7486 c=16.8372 alpha=90.00 beta=90.00 gamma=90.00
Space group Pnma (No. 62)
One atom of each set of equivalent atoms:
Ba (0.0607, 0.2500, 0.1507) x4
Hg (0.0833, 0.7500, 0.4149) x4
Te (0.2304, 0.2500, 0.7775) x4
Te (0.2438, 0.2500, 0.5181) x4

* E_form (uncorrected): -3.72 eV per formula unit